1.
Entry from Alexandria via LeMat-Bulk: a geometry-optimized LiYI3 structure (GGA-PBEsol).

```
data_LiYI3
_space_group_name_H-M_alt 'P m -3 m'
_space_group_IT_number 221
_space_group_name_Hall '-P 4 2 3'
_cell_length_a 5.917
_cell_length_b 5.917
_cell_length_c 5.917
_cell_angle_alpha 90.00
_cell_angle_beta 90.00
_cell_angle_gamma 90.00
loop_
_atom_site_label
_atom_site_type_symbol
_atom_site_fract_x
_atom_site_fract_y
_atom_site_fract_z
Li1 Li 0.000 0.000 0.000
Y1 Y 0.500 0.500 0.500
I1 I 0.000 0.500 0.500
```

Summary:
Mass density (g/cm3): 3.82
DOS(E_F) (states/eV per cell): 3.118


2.
Entry from Alexandria via LeMat-Bulk: a geometry-optimized LiZn2I structure (GGA-PBEsol).

```
data_LiZn2I
_space_group_name_H-M_alt 'F m -3 m'
_space_group_IT_number 225
_space_group_name_Hall '-F 4 2 3'
_cell_length_a 7.365
_cell_length_b 7.365
_cell_length_c 7.365
_cell_angle_alpha 90.00
_cell_angle_beta 90.00
_cell_angle_gamma 90.00
loop_
_atom_site_label
_atom_site_type_symbol
_atom_site_fract_x
_atom_site_fract_y
_atom_site_fract_z
Li1 Li 0.000 0.000 0.000
Zn1 Zn 0.250 0.250 0.250
I1 I 0.000 0.000 0.500
```

Summary:
Mass density (g/cm3): 4.40
DOS(E_F) (states/eV per cell): 2.994


3.
Entry from Alexandria via LeMat-Bulk: a geometry-optimized LuI3O9 structure (GGA-PBEsol).

```
data_LuI3O9
_space_group_name_H-M_alt 'P 1 21/c 1'
_space_group_IT_number 14
_cell_length_a 8.516
_cell_length_b 5.881
_cell_length_c 15.965
_cell_angle_alpha 90.00
_cell_angle_beta 114.59
_cell_angle_gamma 90.00
loop_
_space_group_symop_operation_xyz
'x,y,z'
'-x,-y,-z'
'-x,y+1/2,-z+1/2'
'x,-y+1/2,z+1/2'
loop_
_atom_site_label
_atom_site_type_symbol
_atom_site_fract_x
_atom_site_fract_y
_atom_site_fract_z
Lu1 Lu 0.146 0.210 0.104
I1 I 0.079 0.185 0.355
I2 I 0.359 0.658 0.522
I3 I 0.418 0.603 0.797
O1 O 0.057 0.068 0.689
O2 O 0.100 0.606 0.673
O3 O 0.122 0.123 0.474
O4 O 0.124 0.619 0.487
O5 O 0.342 0.591 0.890
O6 O 0.343 0.185 0.257
O7 O 0.356 0.074 0.940
O8 O 0.357 0.008 0.636
O9 O 0.394 0.027 0.123
```

Summary:
Mass density (g/cm3): 6.39
DOS(E_F) (states/eV per cell): 0.000


4.
Entry from Alexandria via LeMat-Bulk: a geometry-optimized MgMnI2 structure (GGA-PBEsol).

```
data_MgMnI2
_space_group_name_H-M_alt 'F m -3 m'
_space_group_IT_number 225
_space_group_name_Hall '-F 4 2 3'
_cell_length_a 7.353
_cell_length_b 7.353
_cell_length_c 7.353
_cell_angle_alpha 90.00
_cell_angle_beta 90.00
_cell_angle_gamma 90.00
loop_
_atom_site_label
_atom_site_type_symbol
_atom_site_fract_x
_atom_site_fract_y
_atom_site_fract_z
Mg1 Mg 0.000 0.000 0.000
Mn1 Mn 0.000 0.000 0.500
I1 I 0.250 0.250 0.250
```

Summary:
Mass density (g/cm3): 5.56
DOS(E_F) (states/eV per cell): 12.649


5.
Entry from Alexandria via LeMat-Bulk: a geometry-optimized MgMnPd2I structure (GGA-PBEsol).

```
data_MgMnPd2I
_space_group_name_H-M_alt 'P 4/m m m'
_space_group_IT_number 123
_space_group_name_Hall '-P 4 2'
_cell_length_a 4.662
_cell_length_b 4.662
_cell_length_c 4.954
_cell_angle_alpha 90.00
_cell_angle_beta 90.00
_cell_angle_gamma 90.00
loop_
_atom_site_label
_atom_site_type_symbol
_atom_site_fract_x
_atom_site_fract_y
_atom_site_fract_z
Mg1 Mg 0.000 0.000 0.000
Mn1 Mn 0.000 0.000 0.500
Pd1 Pd 0.000 0.500 0.000
I1 I 0.500 0.500 0.500
```

Summary:
Mass density (g/cm3): 6.46
DOS(E_F) (states/eV per cell): 3.214


6.
Entry from Alexandria via LeMat-Bulk: a geometry-optimized MgMoI2 structure (GGA-PBEsol).

```
data_MgMoI2
_space_group_name_H-M_alt 'F m -3 m'
_space_group_IT_number 225
_space_group_name_Hall '-F 4 2 3'
_cell_length_a 6.969
_cell_length_b 6.969
_cell_length_c 6.969
_cell_angle_alpha 90.00
_cell_angle_beta 90.00
_cell_angle_gamma 90.00
loop_
_atom_site_label
_atom_site_type_symbol
_atom_site_fract_x
_atom_site_fract_y
_atom_site_fract_z
Mg1 Mg 0.000 0.000 0.000
Mo1 Mo 0.000 0.000 0.500
I1 I 0.250 0.250 0.250
```

Summary:
Mass density (g/cm3): 7.34
DOS(E_F) (states/eV per cell): 16.746


7.
Entry from Alexandria via LeMat-Bulk: a geometry-optimized Mg2MoI structure (GGA-PBEsol).

```
data_Mg2MoI
_space_group_name_H-M_alt 'F m -3 m'
_space_group_IT_number 225
_space_group_name_Hall '-F 4 2 3'
_cell_length_a 7.011
_cell_length_b 7.011
_cell_length_c 7.011
_cell_angle_alpha 90.00
_cell_angle_beta 90.00
_cell_angle_gamma 90.00
loop_
_atom_site_label
_atom_site_type_symbol
_atom_site_fract_x
_atom_site_fract_y
_atom_site_fract_z
Mg1 Mg 0.250 0.250 0.250
Mo1 Mo 0.000 0.000 0.000
I1 I 0.000 0.000 0.500
```

Summary:
Mass density (g/cm3): 5.23
DOS(E_F) (states/eV per cell): 16.259


8.
Entry from Alexandria via LeMat-Bulk: a geometry-optimized MgMoIN2 structure (GGA-PBEsol).

```
data_MgMoIN2
_space_group_name_H-M_alt 'P 4/m m m'
_space_group_IT_number 123
_space_group_name_Hall '-P 4 2'
_cell_length_a 3.959
_cell_length_b 3.959
_cell_length_c 5.598
_cell_angle_alpha 90.00
_cell_angle_beta 90.00
_cell_angle_gamma 90.00
loop_
_atom_site_label
_atom_site_type_symbol
_atom_site_fract_x
_atom_site_fract_y
_atom_site_fract_z
Mg1 Mg 0.000 0.000 0.000
Mo1 Mo 0.500 0.500 0.500
I1 I 0.500 0.500 0.000
N1 N 0.000 0.500 0.500
```

Summary:
Mass density (g/cm3): 5.21
DOS(E_F) (states/eV per cell): 4.088


Record-wise energy relative to the elements, uncorrected values, in eV per atom: -0.86; 0.27; -1.05; 0.19; 0.79; 0.53; 0.95; 0.33